--- P ---
Crystalline Ta2MnAg at its relaxed geometry, computed with GGA-PBE.

Values from the calculation:
spin magnetization = 0.55 μB per atom

Cell lengths 4.952, 4.952, 5.057 Å; angles 78.44, 78.44, 33.67 degrees
Last column: magnetic moment on the atom in μB.
Fractional coordinates of all 4 atoms:
Ag (0.493, 0.493, 0.499)  -0.02
Mn (0.748, 0.748, 0.762)  2.68
Ta (0.007, 0.007, 0.979)  -0.19
Ta (0.251, 0.251, 0.259)  -0.21


--- Q ---
Crystalline Ta2MnAg at its relaxed geometry, computed with GGA-PBE.

Values from the calculation:
spin magnetization = 0.29 μB per atom

Cell lengths 4.553, 4.553, 4.553 Å; angles 60.00, 60.00, 60.00 degrees
Last column: magnetic moment on the atom in μB.
Fractional coordinates of all 4 atoms:
Ag (0.500, 0.500, 0.500)  -0.06
Mn (0.750, 0.750, 0.750)  2.50
Ta (0.000, 0.000, 0.000)  -0.59
Ta (0.250, 0.250, 0.250)  -0.38


Verdict on stability: P comes out on top.


--- P ---
Crystalline MnZn2Ru at its relaxed geometry, computed with GGA-PBE.

Values from the calculation:
spin magnetization = 1.03 μB per atom

Cell lengths 3.805, 3.805, 3.840 Å; angles 90.00, 90.00, 90.00 degrees
Last column: magnetic moment on the atom in μB.
Fractional coordinates of all 4 atoms:
Ru (0.000, 0.500, 0.500)  0.51
Zn (0.000, 0.000, 0.000)  -0.02
Zn (0.500, 0.500, 0.000)  -0.02
Mn (0.500, 0.000, 0.500)  3.50


--- Q ---
Crystalline MnZn2Ru at its relaxed geometry, computed with GGA-PBE.

Values from the calculation:
spin magnetization = 1.06 μB per atom

Cell lengths 2.775, 2.775, 7.256 Å; angles 90.00, 90.00, 90.00 degrees
Last column: magnetic moment on the atom in μB.
Fractional coordinates of all 4 atoms:
Mn (0.500, 0.500, 0.250)  3.20
Ru (0.500, 0.500, 0.750)  0.95
Zn (0.000, 0.000, 0.000)  -0.03
Zn (0.000, 0.000, 0.500)  -0.03


Verdict on stability: P comes out on top.


--- P ---
Crystalline Sr2YAg2 at its relaxed geometry, computed with GGA-PBE.

Values from the calculation:
spin magnetization = 0.00 μB per atom

Cell lengths 9.219, 9.219, 3.579 Å; angles 90.00, 90.00, 90.00 degrees
Fractional coordinates of all 10 atoms:
Y (0.000, 0.000, 0.000)
Y (0.500, 0.500, 0.000)
Sr (0.363, 0.863, 0.000)
Sr (0.863, 0.637, 0.000)
Sr (0.637, 0.137, 0.000)
Sr (0.137, 0.363, 0.000)
Ag (0.164, 0.664, 0.500)
Ag (0.664, 0.836, 0.500)
Ag (0.836, 0.336, 0.500)
Ag (0.336, 0.164, 0.500)


--- Q ---
Crystalline Sr2YAg2 at its relaxed geometry, computed with GGA-PBE.

Values from the calculation:
spin magnetization = 0.00 μB per atom

Cell lengths 8.191, 8.191, 4.749 Å; angles 90.00, 90.00, 90.00 degrees
Fractional coordinates of all 10 atoms:
Y (0.000, 0.000, 0.000)
Y (0.500, 0.500, 0.000)
Sr (0.170, 0.670, 0.500)
Sr (0.670, 0.830, 0.500)
Sr (0.830, 0.330, 0.500)
Sr (0.330, 0.170, 0.500)
Ag (0.371, 0.871, 0.000)
Ag (0.871, 0.629, 0.000)
Ag (0.629, 0.129, 0.000)
Ag (0.129, 0.371, 0.000)


Verdict on stability: Q comes out on top.